#w
RbTl2P: optimized geometry, PBE.

## Properties
DOS(E_F)   0.4 states/eV/f.u.

abc: 5.5629 5.5629 5.5629
angles: 60.00 60.00 60.00
Fractional coordinates of all 4 atoms:
P1 0.0000 0.0000 0.0000
Tl1 0.2500 0.2500 0.2500
Tl2 0.7500 0.7500 0.7500
Rb1 0.5000 0.5000 0.5000

=====

#x
RbTl2P: optimized geometry, PBE.

## Properties
DOS(E_F)   0.1 states/eV/f.u.

abc: 8.9687 8.9687 7.1916
angles: 51.42 51.42 90.00
Fractional coordinates of all 8 atoms:
P1 0.5000 0.5000 0.0000
P2 0.2500 0.7500 0.5000
Tl1 0.5472 0.1250 0.2500
Tl2 0.2028 0.6250 0.2500
Tl3 0.3750 0.4528 0.7500
Tl4 0.8750 0.7972 0.7500
Rb1 0.0000 0.0000 0.0000
Rb2 0.7500 0.2500 0.5000

=====

Most stable to least stable, the ends of the list are #x and #w.

=====

#w
RbTlP3: optimized geometry, PBE.

## Properties
DOS(E_F)   6.4 states/eV/f.u.

abc: 5.3149 5.3149 5.3149
angles: 90.00 90.00 90.00
Fractional coordinates of all 5 atoms:
P1 0.0000 0.5000 0.0000
P2 0.0000 0.0000 0.5000
P3 0.5000 0.0000 0.0000
Tl1 0.0000 0.0000 0.0000
Rb1 0.5000 0.5000 0.5000

=====

#x
RbTlP3: optimized geometry, PBE.

## Properties
DOS(E_F)   6.2 states/eV/f.u.

abc: 5.6286 5.6286 5.6286
angles: 90.00 90.00 90.00
Fractional coordinates of all 5 atoms:
P1 0.0000 0.5000 0.0000
P2 0.0000 0.0000 0.5000
P3 0.5000 0.0000 0.0000
Tl1 0.5000 0.5000 0.5000
Rb1 0.0000 0.0000 0.0000

=====

Most stable to least stable, the ends of the list are #w and #x.

=====

#w
RbTl3P: optimized geometry, PBE.

## Properties
DOS(E_F)   2.9 states/eV/f.u.

abc: 6.2607 6.2607 6.2607
angles: 90.00 90.00 90.00
Fractional coordinates of all 5 atoms:
P1 0.5000 0.5000 0.5000
Tl1 0.0000 0.5000 0.0000
Tl2 0.0000 0.0000 0.5000
Tl3 0.5000 0.0000 0.0000
Rb1 0.0000 0.0000 0.0000

=====

#x
RbTl3P: optimized geometry, PBE.

## Properties
DOS(E_F)   4.4 states/eV/f.u.

abc: 5.7314 5.7314 5.7314
angles: 90.00 90.00 90.00
Fractional coordinates of all 5 atoms:
P1 0.0000 0.0000 0.0000
Tl1 0.0000 0.5000 0.0000
Tl2 0.0000 0.0000 0.5000
Tl3 0.5000 0.0000 0.0000
Rb1 0.5000 0.5000 0.5000

=====

Most stable to least stable, the ends of the list are #x and #w.

=====

#w
RbUP2: optimized geometry, PBE.

## Properties
DOS(E_F)   5.8 states/eV/f.u.

abc: 4.1505 4.1505 8.0828
angles: 75.12 75.12 60.00
Fractional coordinates of all 4 atoms:
P1 0.2766 0.2766 0.1702
P2 0.7234 0.7234 0.8298
U1 0.0000 0.0000 0.0000
Rb1 0.5000 0.5000 0.5000

=====

#x
RbUP2: optimized geometry, PBE.

## Properties
DOS(E_F)   5.8 states/eV/f.u.

abc: 4.1387 4.1387 8.1889
angles: 75.36 75.36 60.00
Fractional coordinates of all 4 atoms:
Rb1 0.4976 0.4976 0.5071
U1 0.6674 0.6674 0.9977
P1 0.0573 0.0573 0.8280
P2 0.2776 0.2776 0.1672

=====

Most stable to least stable, the ends of the list are #w and #x.

=====

#w
RbV2P2: optimized geometry, PBE.

## Properties
DOS(E_F)   4.5 states/eV/f.u.

abc: 8.0037 8.0037 3.0582
angles: 90.00 90.00 90.00
Fractional coordinates of all 10 atoms:
P1 0.1456 0.6456 0.5000
P2 0.6456 0.8544 0.5000
P3 0.8544 0.3544 0.5000
P4 0.3544 0.1456 0.5000
Rb1 0.0000 0.0000 0.0000
Rb2 0.5000 0.5000 0.0000
V1 0.4064 0.9064 0.0000
V2 0.9064 0.5936 0.0000
V3 0.5936 0.0936 0.0000
V4 0.0936 0.4064 0.0000

=====

#x
RbV2P2: optimized geometry, PBE.

## Properties
DOS(E_F)   3.9 states/eV/f.u.

abc: 3.9135 3.9135 7.6595
angles: 75.20 75.20 90.00
Fractional coordinates of all 5 atoms:
P1 0.3440 0.3440 0.3120
P2 0.6560 0.6560 0.6880
Rb1 0.0000 0.0000 0.0000
V1 0.7500 0.2500 0.5000
V2 0.2500 0.7500 0.5000

=====

Most stable to least stable, the ends of the list are #x and #w.

=====

#w
RbVP3: optimized geometry, PBE.

## Properties
DOS(E_F)   7.7 states/eV/f.u.

abc: 5.2068 5.2068 5.2068
angles: 90.00 90.00 90.00
Fractional coordinates of all 5 atoms:
P1 0.0000 0.5000 0.0000
P2 0.0000 0.0000 0.5000
P3 0.5000 0.0000 0.0000
Rb1 0.0000 0.0000 0.0000
V1 0.5000 0.5000 0.5000

=====

#x
RbVP3: optimized geometry, PBE.

## Properties
DOS(E_F)   7.2 states/eV/f.u.

abc: 4.7022 4.7022 4.7022
angles: 90.00 90.00 90.00
Fractional coordinates of all 5 atoms:
P1 0.0000 0.5000 0.0000
P2 0.0000 0.0000 0.5000
P3 0.5000 0.0000 0.0000
Rb1 0.5000 0.5000 0.5000
V1 0.0000 0.0000 0.0000

=====

Most stable to least stable, the ends of the list are #x and #w.